No. 1
DFT (GGA-PBE) results for an optimized crystal structure of NdAgPbAu.

Symmetry: F-43m

Unit cell a=5.1393 b=5.1393 c=5.1393 alpha=60.00 beta=60.00 gamma=60.00
Fractional coordinates of all 4 atoms:
Nd: 0.0000 0.0000 0.0000
Ag: 0.2500 0.2500 0.2500
Pb: 0.5000 0.5000 0.5000
Au: 0.7500 0.7500 0.7500



No. 2
DFT (GGA-PBE) results for an optimized crystal structure of Nd4AgPdAu2.

Symmetry: R-3m

Unit cell a=9.0504 b=9.0504 c=9.0504 alpha=33.68 beta=33.68 gamma=33.68
Fractional coordinates of all 8 atoms:
Nd: 0.1211 0.1211 0.1211
Nd: 0.3714 0.3714 0.3714
Nd: 0.6286 0.6286 0.6286
Nd: 0.8789 0.8789 0.8789
Ag: 0.5000 0.5000 0.5000
Pd: 0.0000 0.0000 0.0000
Au: 0.2443 0.2443 0.2443
Au: 0.7557 0.7557 0.7557



No. 3
DFT (GGA-PBE) results for an optimized crystal structure of PmNdAgAu.

Symmetry: P4mm
ΔE to the lowest computed polymorph: 0 meV per atom

Unit cell a=3.7166 b=3.7166 c=7.4651 alpha=90.00 beta=90.00 gamma=90.00
Fractional coordinates of all 4 atoms:
Pm: 0.0000 0.0000 0.0000
Nd: 0.0000 0.0000 0.4888
Ag: 0.5000 0.5000 0.7488
Au: 0.5000 0.5000 0.2388



| no. | density of states at the Fermi level (states/eV/cell) | calculated formation energy (meV/atom) |
| --- | --- | --- |
| 1 | 2.02 | -444 |
| 2 | 6.62 | -630 |
| 3 | 2.73 | -526 |